No. 1
A relaxed structure of ZrAl2Zn. Source: the Alexandria database, functional PBE.

The value obtained for the total energy is -4.629 eV/atom. As for the energy of formation from the pure elements: -302 meV per atom. Its space group is No. 119.

Unit cell a=5.2638 b=5.2638 c=5.2638 alpha=135.66 beta=135.63 gamma=64.53
Element x y z (fractional)
Zn: 0.5002 0.5002 0.0000
Al: 0.0000 0.0000 0.0000
Al: 0.7498 0.2498 0.5000
Zr: 0.2501 0.7501 0.5000

No. 2
A relaxed structure of DyZrPtRh. Source: the Alexandria database, functional PBE.

The value obtained for the total energy is -7.523 eV/atom. As for the energy of formation from the pure elements: -887 meV per atom. Its space group is No. 216.

Unit cell a=4.7995 b=4.7995 c=4.7995 alpha=60.00 beta=60.00 gamma=60.00
Element x y z (fractional)
Rh: 0.2500 0.2500 0.2500
Zr: 0.5000 0.5000 0.5000
Pt: 0.7500 0.7500 0.7500
Dy: 0.0000 0.0000 0.0000

No. 3
A relaxed structure of Tm2SnSb. Source: the Alexandria database, functional PBE.

The value obtained for the total energy is -5.123 eV/atom. Its formation energy (no corrections) is -0.8555 eV per atom. Its space group is No. 63.

Unit cell a=4.2834 b=4.4133 c=11.9709 alpha=100.62 beta=90.00 gamma=90.00
Element x y z (fractional)
Tm: 0.7500 0.6833 0.3665
Tm: 0.2500 0.3167 0.6335
Tm: 0.7500 0.9379 0.8758
Tm: 0.2500 0.0621 0.1242
Sn: 0.2500 0.4524 0.9049
Sn: 0.7500 0.5476 0.0951
Sb: 0.2500 0.1880 0.3761
Sb: 0.7500 0.8120 0.6239

No. 4
A relaxed structure of PrPaNiAu. Source: the Alexandria database, functional PBE.

The value obtained for the total energy is -5.995 eV/atom. As for the energy of formation from the pure elements: -162 meV per atom. Its space group is No. 216.

Unit cell a=5.0529 b=5.0529 c=5.0529 alpha=60.00 beta=60.00 gamma=60.00
Element x y z (fractional)
Pr: 0.5000 0.5000 0.5000
Ni: 0.7500 0.7500 0.7500
Pa: 0.0000 0.0000 0.0000
Au: 0.2500 0.2500 0.2500

> Which formula does entry 3 have?

Tm2SnSb

> What is the total energy in the first record?

-4.629 eV/atom

Repeat the third record exactly.
A relaxed structure of Tm2SnSb. Source: the Alexandria database, functional PBE.

The value obtained for the total energy is -5.123 eV/atom. Its formation energy (no corrections) is -0.8555 eV per atom. Its space group is No. 63.

Unit cell a=4.2834 b=4.4133 c=11.9709 alpha=100.62 beta=90.00 gamma=90.00
Element x y z (fractional)
Tm: 0.7500 0.6833 0.3665
Tm: 0.2500 0.3167 0.6335
Tm: 0.7500 0.9379 0.8758
Tm: 0.2500 0.0621 0.1242
Sn: 0.2500 0.4524 0.9049
Sn: 0.7500 0.5476 0.0951
Sb: 0.2500 0.1880 0.3761
Sb: 0.7500 0.8120 0.6239

> What is the total energy in the third record?

-5.123 eV/atom